Density functional theory data (PBE) for a relaxed structure of LaMnOs2.

As for the space-group type: Immm (71). The density of states at the Fermi level is 3.94 states/eV per cell. The total energy is -34.65 eV per cell. The value obtained for the volume is 67.9 Å³ per cell. The calculation puts the offset from the most stable computed form at 0.199 eV per atom. The formation energy from the elements is 0.478 eV per atom.

Structure (POSCAR):
```
LaMnOs2
1.0
-1.423 2.377 5.015
1.423 -2.377 5.015
1.423 2.377 -5.015
La Mn Os
1 1 2
Direct
0.000 0.000 0.000
0.500 0.500 0.000
0.281 0.781 0.500
0.719 0.219 0.500
```